1.
## TiI2O (PBE-GGA)

Data for crystalline TiI2O at its relaxed geometry.

The structure in extended XYZ format:
```
16
Lattice="6.816 0.000 0.000 0.000 6.816 0.000 0.000 0.000 6.816" Properties=species:S:1:pos:R:3 pbc="T T T"
Ti 0.000 0.000 0.000
Ti 0.000 3.408 3.408
Ti 3.408 0.000 3.408
Ti 3.408 3.408 0.000
I 1.704 1.704 1.704
I 1.704 1.704 5.112
I 1.704 5.112 1.704
I 1.704 5.112 5.112
I 5.112 1.704 1.704
I 5.112 1.704 5.112
I 5.112 5.112 1.704
I 5.112 5.112 5.112
O 0.000 0.000 3.408
O 0.000 3.408 0.000
O 3.408 0.000 0.000
O 3.408 3.408 3.408
```

## Properties
DOS at the Fermi energy = 2.25 states/eV/f.u.
Formation energy (no corrections) = 0.1338 eV/atom
SG = No. 225
Magnetic moment = 0.00 μB/f.u.

2.
## Li6Zr2O7 (PBE-GGA)

Data for crystalline Li6Zr2O7 at its relaxed geometry.

The structure in extended XYZ format:
```
30
Lattice="5.280 -3.027 0.000 5.280 3.027 0.000 -1.855 0.000 10.162" Properties=species:S:1:pos:R:3 pbc="T T T"
Li 0.524 0.777 9.094
Li 2.950 2.155 9.292
Li 4.828 2.155 5.952
Li 3.824 0.609 4.046
Li 1.451 -0.777 4.012
Li 5.808 0.609 1.035
Li 2.897 -0.609 9.127
Li 7.254 0.777 6.150
Li 4.881 -0.609 6.117
Li 3.877 -2.155 4.210
Li 5.756 -2.155 0.871
Li 8.181 -0.777 1.069
Zr 2.168 0.733 6.457
Zr 3.095 -0.733 1.376
Zr 5.611 0.733 8.786
Zr 6.538 -0.733 3.705
O 0.470 0.792 5.105
O 2.211 0.680 2.616
O 3.961 0.744 0.230
O 1.397 -0.792 0.024
O 3.889 0.977 7.622
O 1.284 -0.680 7.698
O 5.672 0.744 4.852
O 3.033 -0.744 5.311
O 7.422 0.680 2.465
O 4.816 -0.977 2.541
O 7.308 0.792 10.138
O 4.745 -0.744 9.933
O 6.495 -0.680 7.546
O 8.235 -0.792 5.057
```

## Properties
DOS at the Fermi energy = 0.00 states/eV/f.u.
Formation energy (no corrections) = -2.5371 eV/atom
SG = No. 15
Magnetic moment = 0.00 μB/f.u.

3.
## TcIrPd (PBE-GGA)

Data for crystalline TcIrPd at its relaxed geometry.

The structure in extended XYZ format:
```
6
Lattice="4.774 0.000 0.000 2.382 4.141 0.000 2.349 1.324 4.436" Properties=species:S:1:pos:R:3 pbc="T T T"
Tc 1.579 1.374 1.125
Tc 7.927 4.090 3.311
Ir 3.984 2.741 1.104
Ir 5.522 2.724 3.332
Pd 3.159 1.340 3.332
Pd 6.347 4.124 1.104
```

## Properties
DOS at the Fermi energy = 2.51 states/eV/f.u.
Energy above the most stable polymorph in this dataset = 42 meV per atom
SG = No. 2
ΔH_f (0 K) = -0.02 eV/atom
Magnetic moment = 0.00 μB/f.u.

4.
## DyEr3Ir2 (PBE-GGA)

Data for crystalline DyEr3Ir2 at its relaxed geometry.

The structure in extended XYZ format:
```
12
Lattice="-3.357 6.758 3.494 3.357 -6.758 3.494 3.357 6.758 -3.494" Properties=species:S:1:pos:R:3 pbc="T T T"
Dy 0.000 0.000 0.000
Dy 0.000 0.000 3.494
Er 3.357 3.584 -1.747
Er 3.357 0.000 1.747
Er 0.000 3.174 1.747
Er 3.357 3.584 1.747
Er 0.000 6.758 1.747
Er 0.000 3.174 5.242
Ir 4.784 1.870 0.000
Ir 1.427 4.888 0.000
Ir 1.931 1.870 3.494
Ir -1.427 4.888 3.494
```

## Properties
DOS at the Fermi energy = 4.85 states/eV/f.u.
Energy above the most stable polymorph in this dataset = 90 meV per atom
SG = No. 72
ΔH_f (0 K) = -0.67 eV/atom
Magnetic moment = 0.00 μB/f.u.

5.
## TmSc6 (PBE-GGA)

Data for crystalline TmSc6 at its relaxed geometry.

The structure in extended XYZ format:
```
14
Lattice="7.251 0.000 0.000 0.000 7.251 0.000 0.000 0.000 7.251" Properties=species:S:1:pos:R:3 pbc="T T T"
Tm 0.000 0.000 0.000
Tm 3.625 3.625 3.625
Sc 0.000 1.813 3.625
Sc 0.000 3.625 1.813
Sc 0.000 3.625 5.438
Sc 0.000 5.438 3.625
Sc 1.813 0.000 3.625
Sc 1.813 3.625 0.000
Sc 3.625 0.000 1.813
Sc 3.625 0.000 5.438
Sc 3.625 1.813 0.000
Sc 3.625 5.438 0.000
Sc 5.438 0.000 3.625
Sc 5.438 3.625 0.000
```

## Properties
DOS at the Fermi energy = 7.14 states/eV/f.u.
Energy above the most stable polymorph in this dataset = 1101 meV per atom
SG = No. 229
ΔH_f (0 K) = 1.34 eV/atom
Magnetic moment = 0.00 μB/f.u.

6.
## BeCr2Fe (PBE-GGA)

Data for crystalline BeCr2Fe at its relaxed geometry.

The structure in extended XYZ format:
```
4
Lattice="2.390 0.000 0.000 0.000 3.875 0.000 -0.749 0.000 4.559" Properties=species:S:1:pos:R:3 pbc="T T T"
Be 0.000 0.000 0.000
Cr 0.788 0.000 2.275
Cr 1.456 1.938 1.078
Fe -0.028 1.938 3.455
```

## Properties
DOS at the Fermi energy = 2.95 states/eV/f.u.
SG = No. 6
ΔH_f (0 K) = 0.02 eV/atom
Magnetic moment = 1.39 μB/f.u.